[1]
The following is a PBE calculation of a relaxed La2Pt crystal, from Alexandria via LeMat-Bulk.

Cell and atoms, written as extended XYZ:
```
3
Lattice="5.141 0.000 0.000 -2.571 4.453 0.000 0.000 0.000 3.165" Properties=species:S:1:pos:R:3 pbc="T T T"
La 0.000 2.968 1.583
La 2.571 1.484 1.583
Pt 0.000 0.000 0.000
```

Density, g/cm³: 10.84
Calculated volume, Å³/atom: 24.152
Calculated formation energy, eV/f.u.: -1.0

***

[2]
The following is a PBE calculation of a relaxed La2Pt17 crystal, from Alexandria via LeMat-Bulk.

Cell and atoms, written as extended XYZ:
```
19
Lattice="-2.087 -0.377 -6.681 -4.332 -5.447 0.839 -5.855 3.772 0.795" Properties=species:S:1:pos:R:3 pbc="T T T"
Pt -2.166 -2.723 0.420
Pt -2.774 -1.929 -4.378
Pt -5.289 -0.898 -5.046
Pt -1.291 -0.216 -0.531
Pt -3.241 0.894 -4.392
Pt -6.396 -3.398 -1.338
Pt -2.927 1.886 0.398
Pt -6.984 -1.154 0.000
Pt -5.877 1.346 -3.709
Pt -7.147 1.148 -1.360
Pt -4.701 2.502 -1.494
Pt -5.126 -3.199 -3.687
Pt -5.388 0.949 0.809
Pt -3.644 -3.894 -1.464
Pt -10.982 -1.836 -4.516
Pt -1.043 -0.188 -3.341
Pt -4.798 -2.624 0.826
La -4.136 -0.691 -1.701
La -8.137 -1.360 -3.346
```

Density, g/cm³: 17.63
Calculated volume, Å³/atom: 17.813
Calculated formation energy, eV/f.u.: -8.4

***

Look up the calculated formation energy of the first one. -1.0 eV/f.u.